BaLi3Ir: relaxed, PBE-GGA.

Total energy = -8.93 eV for the cell shown
Space-group type = Pm-3m (221)
Energy above the most stable polymorph in this dataset = 1532 meV/atom
ΔH_f (0 K) = 1.5187 eV/atom

a b c (Å): 4.742 4.742 4.742
angles (deg): 90.00 90.00 90.00
Fractional positions:
1 Ba 0.000 0.000 0.000
2 Li 0.000 0.000 0.500
3 Li 0.000 0.500 0.000
4 Li 0.500 0.000 0.000
5 Ir 0.500 0.500 0.500